Entry 1:
# PBE BaAgGe2Ir, relaxed
data_BaAgGe2Ir
_chemical_formula_sum 'Ba2 Ag2 Ge4 Ir2'
_cell_length_a 4.3768
_cell_length_b 4.3768
_cell_length_c 11.9297
_cell_angle_alpha 90.00
_cell_angle_beta 90.00
_cell_angle_gamma 90.00
_space_group_name_H-M_alt 'I -4 m 2'
_space_group_IT_number 119
_space_group_name_Hall 'I -4 -2'
loop_
_atom_site_label
_atom_site_fract_x
_atom_site_fract_y
_atom_site_fract_z
Ba1 0.0000 0.0000 0.0000
Ag1 0.0000 0.5000 0.7500
Ge1 0.0000 0.0000 0.3613
Ir1 0.0000 0.5000 0.2500
# Calculated total energy (eV/atom): -4.89
# Volume (Å³/atom): 22.9
# Magnetic moment (μB/f.u.): 0.00
# ρ (g cm⁻³): 8.5

Entry 2:
# PBE Sm2SiSeO4, relaxed
data_Sm2SiSeO4
_chemical_formula_sum 'Sm8 Si4 Se4 O16'
_cell_length_a 6.1198
_cell_length_b 7.0862
_cell_length_c 10.9101
_cell_angle_alpha 90.00
_cell_angle_beta 90.00
_cell_angle_gamma 90.00
_space_group_name_H-M_alt 'P b c m'
_space_group_IT_number 57
loop_
_space_group_symop_operation_xyz
'x,y,z'
'-x,-y,-z'
'-x,-y,z+1/2'
'x,y,-z+1/2'
'x,-y+1/2,-z'
'-x,y+1/2,z'
'-x,y+1/2,-z+1/2'
'x,-y+1/2,z+1/2'
loop_
_atom_site_label
_atom_site_fract_x
_atom_site_fract_y
_atom_site_fract_z
Sm1 0.1071 0.2500 0.0000
Sm2 0.3701 0.5334 0.2500
Si1 0.3881 0.7500 0.0000
Se1 0.0791 0.6132 0.7500
O1 0.2275 0.5717 0.0326
O2 0.4476 0.2362 0.6195
# Calculated total energy (eV/atom): -7.75
# Volume (Å³/atom): 14.8
# Magnetic moment (μB/f.u.): 0.00
# ρ (g cm⁻³): 6.6